A geometry-optimized ThMnSi2Mo structure, computed with PBE-GGA.

Calculated values
The formation energy from raw total energies comes out at -0.5254 eV per atom. For the total magnetization, the calculation gives 2.64 μB/f.u.

```
ThMnSi2Mo
1.0
-2.0377 2.0377 5.3849
2.0377 -2.0377 5.3849
2.0377 2.0377 -5.3849
Th Mn Si Mo
1 1 2 1
Cartesian
0.0000 0.0000 0.0000
0.0000 2.0377 2.6925
0.0000 0.0000 4.1289
0.0000 0.0000 6.6410
2.0377 0.0000 2.6925
```